# Hf3Pt4Au4

A geometry-optimized Hf3Pt4Au4 structure (PBE, OQMD).

a = 8.0471 Å, b = 8.0471 Å, c = 8.0471 Å
α = 139.44°, β = 139.44°, γ = 58.71°
Fractional positions:
Au (0.5492, 0.2081, 0.0000)
Au (0.2081, 0.5492, 0.0000)
Au (0.7919, 0.7919, 0.3412)
Au (0.4508, 0.4508, 0.6588)
Hf (0.0000, 0.0000, 0.0000)
Hf (0.7500, 0.2500, 0.5000)
Hf (0.2500, 0.7500, 0.5000)
Pt (0.1964, 0.1964, 0.0000)
Pt (0.8036, 0.8036, 0.0000)
Pt (0.5000, 0.0000, 0.5000)
Pt (0.0000, 0.5000, 0.5000)

Output
Calculated total energy: -71.1 eV for the cell shown
DFT formation energy: -357.0 meV per atom
Mass density: 16.0 Mg/m³



# Li6Re2O7

A geometry-optimized Li6Re2O7 structure (PBE, OQMD).

a = 4.7054 Å, b = 5.9682 Å, c = 5.0433 Å
α = 87.71°, β = 100.77°, γ = 105.72°
Fractional positions:
Li (0.9561, 0.4824, 0.0067)
Li (0.5185, 0.3702, 0.2901)
Li (0.9815, 0.2548, 0.4599)
Li (0.5439, 0.1426, 0.7433)
Li (0.5291, 0.6384, 0.7532)
Li (0.9709, 0.9866, 0.9968)
O (0.7209, 0.1679, 0.1174)
O (0.7330, 0.6744, 0.1196)
O (0.2490, 0.0770, 0.3598)
O (0.2510, 0.5480, 0.3902)
O (0.7670, 0.9506, 0.6304)
O (0.7791, 0.4571, 0.6326)
O (0.2500, 0.8125, 0.8750)
Re (0.4910, 0.8674, 0.2628)
Re (0.0090, 0.7576, 0.4872)

Output
Calculated total energy: -96.9 eV for the cell shown
Mass density: 6.5 Mg/m³



# GaHgW4

A geometry-optimized GaHgW4 structure (PBE, OQMD).

a = 6.2223 Å, b = 6.2223 Å, c = 6.2223 Å
α = 44.62°, β = 44.62°, γ = 44.62°
Fractional positions:
Ga (0.5000, 0.5000, 0.5000)
Hg (0.0000, 0.0000, 0.0000)
W (0.1945, 0.1945, 0.1945)
W (0.3464, 0.3464, 0.3464)
W (0.6536, 0.6536, 0.6536)
W (0.8055, 0.8055, 0.8055)

Output
Calculated total energy: -50.3 eV for the cell shown
Mass density: 15.4 Mg/m³



# Zr4Nb2As3N3

A geometry-optimized Zr4Nb2As3N3 structure (PBE, OQMD).

a = 5.9138 Å, b = 5.9138 Å, c = 12.6562 Å
α = 103.44°, β = 103.44°, γ = 59.99°
Fractional positions:
As (0.4164, 0.2684, 0.2490)
As (0.1009, 0.8991, 0.2500)
As (0.7316, 0.5836, 0.2510)
As (0.2684, 0.4164, 0.7490)
As (0.8991, 0.1009, 0.7500)
As (0.5836, 0.7316, 0.7510)
N (0.0000, 0.5000, 0.0000)
N (0.3278, 0.8452, 0.0002)
N (0.1548, 0.6722, 0.4998)
N (0.5000, 0.0000, 0.5000)
N (0.8452, 0.3278, 0.5002)
N (0.6722, 0.1548, 0.9998)
Nb (0.3700, 0.5300, 0.0881)
Nb (0.4700, 0.6300, 0.4119)
Nb (0.5300, 0.3700, 0.5881)
Nb (0.6300, 0.4700, 0.9119)
Zr (0.0276, 0.2036, 0.0981)
Zr (0.6996, 0.8616, 0.0983)
Zr (0.1384, 0.3004, 0.4017)
Zr (0.7964, 0.9724, 0.4019)
Zr (0.2036, 0.0276, 0.5981)
Zr (0.8616, 0.6996, 0.5983)
Zr (0.3004, 0.1384, 0.9017)
Zr (0.9724, 0.7964, 0.9019)

Output
Calculated total energy: -214.4 eV for the cell shown
Mass density: 7.4 Mg/m³